1.
Crystalline Zn3CuRh at its relaxed geometry. Source: the Alexandria database, functional PBE.

Lattice parameters (Å, degrees): 5.206 6.443 9.363 117.07 90.00 90.00
Sites, in units of the cell vectors:
1 Zn 0.844 0.031 0.627
2 Rh 0.351 0.027 0.658
3 Zn 0.618 0.751 0.737
4 Zn 0.865 0.363 0.542
5 Zn 0.135 0.637 0.458
6 Zn 0.156 0.969 0.373
7 Zn 0.118 0.749 0.763
8 Zn 0.635 0.863 0.042
9 Zn 0.344 0.469 0.873
10 Cu 0.379 0.364 0.569
11 Rh 0.649 0.973 0.342
12 Zn 0.382 0.249 0.263
13 Cu 0.879 0.136 0.931
14 Rh 0.149 0.527 0.158
15 Rh 0.851 0.473 0.842
16 Zn 0.882 0.251 0.237
17 Zn 0.656 0.531 0.127
18 Zn 0.365 0.137 0.958
19 Cu 0.621 0.636 0.431
20 Cu 0.121 0.864 0.069

Its energy relative to the lowest polymorph listed for this composition is 0.061 eV per atom. The calculation puts the calculated formation energy at -0.9 eV/f.u. The calculation puts the total magnetization at 0.00 Bohr magnetons per cell. The uncorrected energy comes out at -3.225 eV per atom. Its symmetry is P2_1/c (14).



2.
Crystalline Zn2CuRh at its relaxed geometry. Source: the Alexandria database, functional PBE.

Lattice parameters (Å, degrees): 4.878 4.878 4.299 69.11 69.11 35.13
Sites, in units of the cell vectors:
1 Rh 0.251 0.251 0.200
2 Zn 0.753 0.753 0.698
3 Zn 0.999 0.999 0.050
4 Cu 0.497 0.497 0.552

The calculation puts the calculated formation energy at -0.9 eV/f.u. The calculation puts the total magnetization at 0.00 Bohr magnetons per cell. The uncorrected energy comes out at -3.733 eV per atom. Its symmetry is Cm (8).



3.
Crystalline Zn6Cu8Rh at its relaxed geometry. Source: the Alexandria database, functional PBE.

Lattice parameters (Å, degrees): 6.550 6.550 6.630 60.40 60.40 60.00
Sites, in units of the cell vectors:
1 Cu 0.841 0.841 0.476
2 Zn 0.062 0.236 0.164
3 Cu 0.228 0.398 0.681
4 Zn 0.462 0.938 0.836
5 Cu 0.602 0.306 0.319
6 Cu 0.772 0.602 0.319
7 Cu 0.694 0.228 0.681
8 Zn 0.538 0.062 0.164
9 Zn 0.764 0.462 0.836
10 Rh 0.000 0.000 0.000
11 Cu 0.159 0.159 0.524
12 Cu 0.306 0.772 0.319
13 Zn 0.236 0.538 0.164
14 Cu 0.398 0.694 0.681
15 Zn 0.938 0.764 0.836

The calculation puts the calculated formation energy at -0.8 eV/f.u. The calculation puts the total magnetization at 0.00 Bohr magnetons per cell. The uncorrected energy comes out at -3.235 eV per atom. Its symmetry is R-3 (148).



4.
Crystalline ZnCuRh at its relaxed geometry. Source: the Alexandria database, functional PBE.

Lattice parameters (Å, degrees): 3.720 4.659 5.409 71.95 89.92 66.50
Sites, in units of the cell vectors:
1 Rh 0.962 0.313 0.880
2 Cu 0.960 0.317 0.374
3 Cu 0.631 0.974 0.208
4 Zn 0.295 0.647 0.539
5 Zn 0.296 0.644 0.043
6 Rh 0.629 0.978 0.702

Its energy relative to the lowest polymorph listed for this composition is 0.031 eV per atom. The calculation puts the calculated formation energy at -0.4 eV/f.u. The calculation puts the total magnetization at 0.00 Bohr magnetons per cell. The uncorrected energy comes out at -4.366 eV per atom. Its symmetry is P-1 (2).



Look up the uncorrected energy of the first one. -3.225 eV per atom



Which of these has the lowest uncorrected energy? ZnCuRh